[1]
DyAs2Rh: optimized geometry, PBE-GGA.

Calculated values
Energy relative to the elements (eV per atom): -0.1880

Unit cell a=3.3368 b=3.3368 c=27.1833 alpha=90.00 beta=90.00 gamma=120.00
Closest atoms and distances in Å follow each position.
Space group R-3m (No. 166, hexagonal axes)
Unique sites:
Dy1 0.0000 0.0000 0.0000  2 As 2.87
As1 0.0000 0.0000 0.1057  3 Rh 2.54
Rh1 0.0000 0.0000 0.5000  6 As 2.54



[2]
Tb7PrSm12: optimized geometry, PBE-GGA.

Calculated values
Energy relative to the elements (eV per atom): 0.6556
Distance to the lowest polymorph of the same formula (meV per atom): 494.1

Unit cell a=11.4769 b=11.4769 c=11.4769 alpha=90.00 beta=90.00 gamma=90.00
Closest atoms and distances in Å follow each position.
Space group Im-3m (No. 229)
Unique sites:
Tb1 0.0000 0.0000 0.5000  12 Sm 4.01-4.06
Tb2 0.2500 0.2500 0.2500  6 Sm 2.87
Pr1 0.0000 0.0000 0.0000  12 Sm 4.11
Sm1 0.0000 0.2531 0.2531  2 Tb 2.87



[3]
BaHfAl2C: optimized geometry, PBE-GGA.

Calculated values
Energy relative to the elements (eV per atom): 0.8815

Unit cell a=4.2863 b=4.2863 c=5.4675 alpha=90.00 beta=90.00 gamma=90.00
Closest atoms and distances in Å follow each position.
Space group P4/mmm (No. 123)
Unique sites:
Ba1 0.0000 0.0000 0.0000  2 C 2.73, 4 Hf 3.03
Hf1 0.5000 0.5000 0.0000  4 Ba 3.03
Al1 0.0000 0.5000 0.5000  2 C 2.14
C1 0.0000 0.0000 0.5000  4 Al 2.14



[4]
RbSb2OsW: optimized geometry, PBE-GGA.

Calculated values
Total DFT energy (no corrections) (eV/f.u.): -24.7

Unit cell a=5.1030 b=5.1030 c=6.0517 alpha=90.00 beta=90.00 gamma=90.00
Closest atoms and distances in Å follow each position.
Space group P4/mmm (No. 123)
Unique sites:
Rb1 0.0000 0.0000 0.0000  2 Os 3.03
Sb1 0.0000 0.5000 0.5000  2 Os 2.55
Os1 0.0000 0.0000 0.5000  4 Sb 2.55
W1 0.5000 0.5000 0.0000  4 Rb 3.61, 8 Sb 3.96



[5]
UGaPdRu: optimized geometry, PBE-GGA.

Calculated values
Energy relative to the elements (eV per atom): -0.2862

Unit cell a=6.5702 b=6.5702 c=6.5702 alpha=90.00 beta=90.00 gamma=90.00
Closest atoms and distances in Å follow each position.
Space group F-43m (No. 216)
Unique sites:
U1 0.0000 0.0000 0.0000  4 Ru 2.84, 4 Pd 2.84
Ga1 0.0000 0.0000 0.5000  4 Pd 2.84, 4 Ru 2.84
Pd1 0.2500 0.2500 0.2500  4 U 2.84, 4 Ga 2.84
Ru1 0.2500 0.2500 0.7500  4 U 2.84, 4 Ga 2.84



[6]
TlInI2: optimized geometry, PBE-GGA.

Calculated values
Distance to the lowest polymorph of the same formula (meV per atom): 0.0

Unit cell a=8.6552 b=4.9891 c=8.6399 alpha=90.00 beta=109.46 gamma=90.00
Closest atoms and distances in Å follow each position.
Space group C2/m (No. 12)
Unique sites:
Tl1 0.0000 0.0000 0.0000  6 I 3.55
In1 0.0000 0.5000 0.5000  6 I 3.51
I1 0.2489 0.0000 0.7463  3 In 3.51, 3 Tl 3.55



[7]
KHg2Br4: optimized geometry, PBE-GGA.

Calculated values
Distance to the lowest polymorph of the same formula (meV per atom): 0.0

Unit cell a=7.2795 b=9.1502 c=10.0402 alpha=116.47 beta=110.19 gamma=91.41
Closest atoms and distances in Å follow each position.
Space group P1 (No. 1)
Unique sites:
K1 0.0000 0.0000 0.0000  6 Br 3.34-3.42
K2 0.3004 0.7370 0.5372  6 Br 3.22-3.59
Hg1 0.1985 0.3629 0.6300  1 Br 2.54, 1 Hg 2.61
Hg2 0.4699 0.1848 0.6574  1 Br 2.55, 1 Hg 2.61
Hg3 0.5387 0.7782 0.1022  2 Br 2.54-2.56
Hg4 0.5905 0.3177 0.2064  4 Br 2.63-2.76
Br1 0.2652 0.8121 0.2095  1 Hg 2.54
Br2 0.3104 0.3521 0.3245  1 Hg 2.65
Br3 0.3564 0.0824 0.8904  1 Hg 2.76
Br4 0.6318 0.6727 0.8566  1 Hg 2.56
Br5 0.7407 0.0138 0.6565  1 Hg 2.55
Br6 0.7876 0.5724 0.2212  1 Hg 2.63
Br7 0.8089 0.1071 0.2895  2 Hg 2.76-2.93
Br8 0.9888 0.5843 0.6516  1 Hg 2.54



[8]
PuNbMoRh: optimized geometry, PBE-GGA.

Calculated values
Energy relative to the elements (eV per atom): -0.0721

Unit cell a=6.5941 b=6.5941 c=6.5941 alpha=90.00 beta=90.00 gamma=90.00
Closest atoms and distances in Å follow each position.
Space group F-43m (No. 216)
Unique sites:
Pu1 0.0000 0.0000 0.0000  4 Mo 2.86, 4 Rh 2.86
Nb1 0.0000 0.0000 0.5000  4 Mo 2.86, 4 Rh 2.86
Mo1 0.2500 0.2500 0.7500  4 Nb 2.86, 4 Pu 2.86
Rh1 0.2500 0.2500 0.2500  4 Nb 2.86, 4 Pu 2.86



[9]
BAsBr2N: optimized geometry, PBE-GGA.

Calculated values
Distance to the lowest polymorph of the same formula (meV per atom): 0.0

Unit cell a=5.0227 b=5.0227 c=4.1147 alpha=90.00 beta=90.00 gamma=90.00
Closest atoms and distances in Å follow each position.
Space group P4/mmm (No. 123)
Unique sites:
B1 0.0000 0.0000 0.0000  2 As 2.06
As1 0.0000 0.0000 0.5000  2 B 2.06
Br1 0.0000 0.5000 0.0000  2 B 2.51
N1 0.5000 0.5000 0.5000  8 Br 3.25, 4 As 3.55



[10]
AcPaBeO6: optimized geometry, PBE-GGA.

Calculated values
Total DFT energy (no corrections) (eV/f.u.): -68.9

Unit cell a=5.4153 b=5.4153 c=4.9351 alpha=90.00 beta=90.00 gamma=120.00
Closest atoms and distances in Å follow each position.
Space group P312 (No. 149)
Unique sites:
Ac1 0.0000 0.0000 0.0000  6 O 2.48
Pa1 0.6667 0.3333 0.5000  6 O 2.19
Be1 0.3333 0.6667 0.0000  6 O 1.92
O1 0.0231 0.4162 0.2325  1 Be 1.92



[11]
Sr2TaMnCr: optimized geometry, PBE-GGA.

Calculated values
Energy relative to the elements (eV per atom): 1.2866

Unit cell a=5.9426 b=5.9426 c=4.4500 alpha=90.00 beta=90.00 gamma=90.00
Closest atoms and distances in Å follow each position.
Space group P4/mmm (No. 123)
Unique sites:
Sr1 0.0000 0.5000 0.0000  2 Cr 2.97
Ta1 0.0000 0.0000 0.5000  2 Cr 2.23
Mn1 0.5000 0.5000 0.5000  8 Sr 3.71
Cr1 0.0000 0.0000 0.0000  2 Ta 2.23



[12]
Nd2Y2Ho2Er: optimized geometry, PBE-GGA.

Calculated values
Energy relative to the elements (eV per atom): 0.0856

Unit cell a=11.7630 b=3.5185 c=11.8201 alpha=90.00 beta=108.76 gamma=90.00
Closest atoms and distances in Å follow each position.
Space group C2/m (No. 12)
Unique sites:
Nd1 0.1725 0.0000 0.0863  5 Nd 3.52-3.91, 4 Y 3.54-3.63, 2 Ho 3.61
Y1 0.0486 0.0000 0.7697  3 Ho 3.48-3.59, 2 Y 3.52, 2 Er 3.52, 4 Nd 3.54-3.63
Ho1 0.2285 0.5000 0.3657  3 Y 3.48-3.59, 4 Ho 3.52, 3 Er 3.53-3.54, 2 Nd 3.61
Er1 0.0000 0.5000 0.5000  2 Er 3.52, 4 Y 3.52, 6 Ho 3.53-3.54



[13]
Li4CdI6: optimized geometry, PBE-GGA.

Calculated values
Total DFT energy (no corrections) (eV/f.u.): -29.0

Unit cell a=13.5228 b=8.0468 c=15.2357 alpha=90.00 beta=103.29 gamma=90.00
Closest atoms and distances in Å follow each position.
Space group Cc (No. 9)
Unique sites:
Li1 0.0000 0.0593 0.0000  4 I 2.71-2.91
Li2 0.1641 0.3041 0.3370  3 I 2.68-2.95
Li3 0.3501 0.0755 0.0062  4 I 2.71-2.88
Li4 0.3944 0.2647 0.7521  4 I 2.77-2.88
Cd1 0.0753 0.2575 0.7677  4 I 2.82-2.86
I1 0.0591 0.0722 0.1959  1 Cd 2.86, 3 Li 2.88-2.95
I2 0.1559 0.2396 0.9561  2 Li 2.76-2.88, 1 Cd 2.83
I3 0.2194 0.4609 0.7115  2 Li 2.79-2.91, 1 Cd 2.82
I4 0.3285 0.2536 0.4705  3 Li 2.68-2.71
I5 0.3874 0.0787 0.1993  1 Cd 2.84, 2 Li 2.87
I6 0.4937 0.2400 0.9324  4 Li 2.76-3.02



[14]
ErPaC: optimized geometry, PBE-GGA.

Calculated values
Energy relative to the elements (eV per atom): 0.1919
Distance to the lowest polymorph of the same formula (meV per atom): 412.6

Unit cell a=3.1390 b=3.1390 c=11.5953 alpha=90.00 beta=90.00 gamma=90.00
Closest atoms and distances in Å follow each position.
Space group I4mm (No. 107)
Unique sites:
Er1 0.0000 0.0000 0.0000  4 C 2.79, 1 Pa 2.86
Pa1 0.0000 0.0000 0.7536  4 C 2.51
C1 0.0000 0.0000 0.3547  4 Pa 2.51, 4 Er 2.79



[15]
LaTl2Au2: optimized geometry, PBE-GGA.

Calculated values
Energy relative to the elements (eV per atom): -0.3756
Distance to the lowest polymorph of the same formula (meV per atom): 0.0

Unit cell a=4.4352 b=4.4352 c=13.2916 alpha=90.00 beta=90.00 gamma=90.00
Closest atoms and distances in Å follow each position.
Space group I4/mmm (No. 139)
Unique sites:
La1 0.0000 0.0000 0.0000  8 Au 3.41
Tl1 0.0000 0.5000 0.2500  4 Au 2.98, 4 Tl 3.14
Au1 0.0000 0.0000 0.3994  1 Au 2.67, 4 Tl 2.98



[16]
Cs2LiTmI6: optimized geometry, PBE-GGA.

Calculated values
Total DFT energy (no corrections) (eV/f.u.): -31.7

Unit cell a=8.5041 b=8.5041 c=42.5076 alpha=90.00 beta=90.00 gamma=120.00
Closest atoms and distances in Å follow each position.
Space group R-3m (No. 166, hexagonal axes)
Unique sites:
Cs1 0.0000 0.0000 0.1215  12 I 4.21-4.51
Cs2 0.0000 0.0000 0.2919  12 I 4.25-4.30
Li1 0.0000 0.0000 0.0000  6 I 3.01
Li2 0.0000 0.0000 0.5000  6 I 3.02
Tm1 0.0000 0.0000 0.4152  6 I 2.99-3.00
I1 0.0003 0.5001 0.2923  1 Tm 3.00, 1 Li 3.01
I2 0.0069 0.5034 0.1237  1 Tm 2.99, 1 Li 3.02



[17]
Pr5SnS4: optimized geometry, PBE-GGA.

Calculated values
Total DFT energy (no corrections) (eV/f.u.): -61.7

Unit cell a=9.4107 b=9.4107 c=5.9579 alpha=90.00 beta=90.00 gamma=90.00
Closest atoms and distances in Å follow each position.
Space group I4/m (No. 87)
Unique sites:
Pr1 0.0000 0.0000 0.0000  2 Sn 2.98, 4 S 2.99
Pr2 0.1031 0.6883 0.5000  5 S 2.91-2.98, 1 Sn 3.09
Sn1 0.0000 0.0000 0.5000  6 Pr 2.98-3.09
S1 0.1054 0.7004 0.0000  6 Pr 2.91-2.99



[18]
CuSnO2: optimized geometry, PBE-GGA.

Calculated values
Total DFT energy (no corrections) (eV/f.u.): -21.1

Unit cell a=4.8009 b=4.8009 c=10.2359 alpha=90.00 beta=90.00 gamma=90.00
Closest atoms and distances in Å follow each position.
Space group I-42d (No. 122)
Unique sites:
Cu1 0.0000 0.0000 0.0000  4 O 2.13
Sn1 0.0000 0.0000 0.5000  4 O 2.12
O1 0.2490 0.2500 0.6250  2 Sn 2.12, 2 Cu 2.13



[19]
ZrIn2Se: optimized geometry, PBE-GGA.

Calculated values
Total DFT energy (no corrections) (eV/f.u.): -18.9

Unit cell a=3.6805 b=4.6248 c=5.9301 alpha=90.00 beta=107.97 gamma=90.00
Closest atoms and distances in Å follow each position.
Space group Pm (No. 6)
Unique sites:
Zr1 0.0000 0.0000 0.0000  2 Se 2.70, 1 In 3.02
In1 0.2686 0.0000 0.5349  3 Zr 3.02-3.21, 4 Se 3.20
In2 0.6080 0.5000 0.2170  3 Se 3.02-3.20, 4 Zr 3.20
Se1 0.8761 0.5000 0.7532  2 Zr 2.70



[20]
ZrBRh3: optimized geometry, PBE-GGA.

Calculated values
Energy relative to the elements (eV per atom): 0.5924

Unit cell a=4.6437 b=4.6437 c=18.5378 alpha=90.00 beta=90.00 gamma=90.00
Closest atoms and distances in Å follow each position.
Space group I-4m2 (No. 119)
Unique sites:
Zr1 0.0000 0.0000 0.0000  4 Rh 2.57
Zr2 0.0000 0.5000 0.2500  4 Rh 2.61
B1 0.0000 0.5000 0.6286  6 Rh 2.33-2.59
Rh1 0.0000 0.0000 0.3647  2 B 2.33
Rh2 0.0000 0.2452 0.1246  2 Rh 2.28-2.37